1.
The following is a PBE-GGA calculation of crystalline La6Ge3Pb at its relaxed geometry, from the Alexandria database.

crystal system = orthorhombic
spin magnetization = 0.00 μB/f.u.
calculated volume = 30.7 Å³ per atom
space group = Cmc2_1
final energy = -108.022 eV per cell

Lattice parameters (Å, degrees): 8.5289 8.5289 8.4339 90.00 90.00 89.50
Last column: nearest neighbours and their distance in Å.
Positions (direct):
La: 0.0140 0.5051 0.2576  3 Ge 3.11-3.23, 1 Pb 3.35
La: 0.1352 0.8648 0.5000  5 Ge 3.24-3.31, 1 La 3.26, 1 Pb 3.28
La: 0.1357 0.8643 0.0144  5 Ge 3.25-3.32, 1 La 3.26, 1 Pb 3.28
La: 0.3463 0.3467 0.0071  4 Ge 3.11-3.37, 2 Pb 3.40
La: 0.3467 0.3463 0.5071  4 Ge 3.11-3.37, 2 Pb 3.40
La: 0.4949 0.9860 0.2576  3 Ge 3.11-3.23, 1 Pb 3.35
La: 0.5051 0.0140 0.7576  3 Ge 3.11-3.23, 1 Pb 3.35
La: 0.6533 0.6537 0.0071  4 Ge 3.11-3.37, 2 Pb 3.40
La: 0.6537 0.6533 0.5071  4 Ge 3.11-3.37, 2 Pb 3.40
La: 0.8643 0.1357 0.5144  5 Ge 3.25-3.32, 1 La 3.26, 1 Pb 3.28
La: 0.8648 0.1352 0.0000  5 Ge 3.24-3.31, 1 La 3.26, 1 Pb 3.28
La: 0.9860 0.4949 0.7576  3 Ge 3.11-3.23, 1 Pb 3.35
Ge: 0.1571 0.1589 0.2572  8 La 3.11-3.32
Ge: 0.1589 0.1571 0.7572  8 La 3.11-3.32
Ge: 0.3454 0.6546 0.2573  8 La 3.11-3.37
Ge: 0.6546 0.3454 0.7573  8 La 3.11-3.37
Ge: 0.8411 0.8429 0.2572  8 La 3.11-3.32
Ge: 0.8429 0.8411 0.7572  8 La 3.11-3.32
Pb: 0.3405 0.6595 0.7567  8 La 3.28-3.40
Pb: 0.6595 0.3405 0.2567  8 La 3.28-3.40

---

2.
The following is a PBE-GGA calculation of crystalline Sr8Ca3 at its relaxed geometry, from the Alexandria database.

crystal system = monoclinic
spin magnetization = 0.00 μB/f.u.
calculated volume = 51.1 Å³ per atom
energy above the most stable polymorph in this dataset = 0.00 eV per formula unit
space group = C2/m
final energy = -19.331 eV per cell

Lattice parameters (Å, degrees): 7.2113 7.2113 14.9835 103.86 103.86 48.37
Last column: nearest neighbours and their distance in Å.
Positions (direct):
Sr: 0.0460 0.0460 0.3173  8 Sr 4.15-4.17, 4 Ca 4.18-4.19
Sr: 0.1343 0.1343 0.9553  7 Sr 4.09-4.20, 5 Ca 4.12-4.17
Sr: 0.2275 0.2275 0.5915  4 Ca 4.16-4.19, 8 Sr 4.16-4.18
Sr: 0.3188 0.3188 0.2267  8 Sr 4.15-4.18, 4 Ca 4.16-4.18
Sr: 0.6812 0.6812 0.7733  8 Sr 4.15-4.18, 4 Ca 4.16-4.18
Sr: 0.7725 0.7725 0.4085  4 Ca 4.16-4.19, 8 Sr 4.16-4.18
Sr: 0.8657 0.8657 0.0447  7 Sr 4.09-4.20, 5 Ca 4.12-4.17
Sr: 0.9540 0.9540 0.6827  8 Sr 4.15-4.17, 4 Ca 4.18-4.19
Ca: 0.4095 0.4095 0.8667  1 Ca 4.08, 11 Sr 4.12-4.19
Ca: 0.5000 0.5000 0.5000  12 Sr 4.16-4.18
Ca: 0.5905 0.5905 0.1333  1 Ca 4.08, 11 Sr 4.12-4.19

---

3.
The following is a PBE-GGA calculation of crystalline Sc3NbZn at its relaxed geometry, from the Alexandria database.

crystal system = cubic
spin magnetization = 0.00 μB/f.u.
calculated volume = 26.3 Å³ per atom
energy above the most stable polymorph in this dataset = 0.02 eV per formula unit
space group = Pm-3m
final energy = -26.970 eV per cell

Lattice parameters (Å, degrees): 5.0864 5.0864 5.0864 90.00 90.00 90.00
Last column: nearest neighbours and their distance in Å.
Positions (direct):
Sc: 0.0000 0.0000 0.5000  2 Nb 2.54
Sc: 0.0000 0.5000 0.0000  2 Nb 2.54
Sc: 0.5000 0.0000 0.0000  2 Nb 2.54
Nb: 0.0000 0.0000 0.0000  6 Sc 2.54
Zn: 0.5000 0.5000 0.5000  12 Sc 3.60

---

4.
The following is a PBE-GGA calculation of crystalline Sc3I7Br at its relaxed geometry, from the Alexandria database.

crystal system = monoclinic
spin magnetization = 1.06 μB/f.u.
calculated volume = 40.1 Å³ per atom
raw formation energy = -1249.8 meV per atom
space group = Cm
final energy = -45.266 eV per cell

Lattice parameters (Å, degrees): 8.2504 8.2504 10.3427 126.66 126.66 59.95
Last column: nearest neighbours and their distance in Å.
Positions (direct):
Sc: 0.0000 0.0000 0.0000  1 Br 2.80, 5 I 2.90-2.98
Sc: 0.9998 0.4938 0.9999  1 Br 2.80, 5 I 2.89-2.98
Sc: 0.4938 0.9998 0.9999  1 Br 2.80, 5 I 2.89-2.98
I: 0.0479 0.5559 0.7765  2 Sc 2.91
I: 0.4411 0.4411 0.2256  2 Sc 2.89
I: 0.4416 0.9484 0.2259  2 Sc 2.90
I: 0.5559 0.0479 0.7765  2 Sc 2.91
I: 0.5562 0.5562 0.7768  2 Sc 2.90
I: 0.9484 0.4416 0.2259  2 Sc 2.90
I: 0.9481 0.9481 0.2340  3 Sc 2.98
Br: 0.0636 0.0636 0.7977  3 Sc 2.80